Below is a relaxed structure of Tl3CuAg3Br8, with properties calculated at the PBE level.

abc: 8.128 8.857 9.060
angles: 119.89 90.00 117.31
Site moments in Bohr magnetons follow the coordinates.
Fractional positions:
1 Br 0.225 0.007 0.312  0.08
2 Br 0.218 0.993 0.688  0.08
3 Br 0.734 0.467 0.274  0.00
4 Br 0.775 0.993 0.688  0.08
5 Br 0.258 0.516 0.291  0.00
6 Br 0.742 0.484 0.709  0.00
7 Br 0.782 0.007 0.312  0.08
8 Br 0.266 0.533 0.726  0.00
9 Ag 0.500 0.000 0.500  0.02
10 Ag 0.000 0.500 0.500  0.00
11 Ag 0.500 0.500 0.500  0.00
12 Tl 0.500 0.500 0.000  0.00
13 Tl 0.000 0.500 0.000  0.00
14 Tl 0.000 0.000 0.000  0.00
15 Cu 0.000 0.000 0.500  0.36

Its space group is C2/m. The crystal system is monoclinic.



Below is a relaxed structure of Y2TmAg, with properties calculated at the PBE level.

abc: 3.605 3.605 10.474
angles: 80.10 80.10 60.03
Site moments in Bohr magnetons follow the coordinates.
Fractional positions:
1 Y 0.258 0.258 0.226  0.06
2 Y 0.075 0.075 0.775  0.03
3 Ag 0.667 0.667 0.000  0.00
4 Tm 0.500 0.500 0.499  0.20

Its space group is R3m. The calculation puts the energy relative to the elements at -0.013 eV per atom. The crystal system is trigonal.



Below is a relaxed structure of Mg4Tl2Sn, with properties calculated at the PBE level.

abc: 8.057 8.177 8.280
angles: 132.06 105.12 94.89
Fractional positions:
1 Sn 0.111 0.620 0.501
2 Sn 0.139 0.130 0.999
3 Tl 0.125 0.375 0.750
4 Tl 0.625 0.375 0.750
5 Tl 0.625 0.875 0.250
6 Tl 0.625 0.375 0.250
7 Mg 0.286 0.018 0.268
8 Mg 0.899 0.126 0.230
9 Mg 0.352 0.624 0.270
10 Mg 0.500 0.731 0.766
11 Mg 0.894 0.662 0.767
12 Mg 0.356 0.088 0.733
13 Mg 0.964 0.732 0.232
14 Mg 0.750 0.019 0.734

Its space group is P-1. The calculation puts the energy relative to the elements at 0.001 eV per atom. The crystal system is triclinic.



Number 1: final energy -0.09948 hartree per atom, volume 480 Å³/cell. Number 2: final energy -0.18651 hartree per atom, volume 116 Å³/cell. Number 3: final energy -0.07930 hartree per atom, volume 364 Å³/cell.